(1)
DFT (PBE-GGA) results for a geometry-optimized Er3Ge13Ru4 structure.

abc: 9.0168 9.0168 9.0168
angles: 90.00 90.00 90.00
Last column: nearest neighbours and their distance in Å.
Sites, in units of the cell vectors:
Er  0.0000  0.5000  0.7500  12 Ge 3.16-3.21, 4 Ru 3.19
Er  0.5000  0.2500  0.0000  12 Ge 3.16-3.21, 4 Ru 3.19
Er  0.7500  0.0000  0.5000  12 Ge 3.16-3.21, 4 Ru 3.19
Er  0.0000  0.5000  0.2500  12 Ge 3.16-3.21, 4 Ru 3.19
Er  0.5000  0.7500  0.0000  12 Ge 3.16-3.21, 4 Ru 3.19
Er  0.2500  0.0000  0.5000  12 Ge 3.16-3.21, 4 Ru 3.19
Ge  0.5000  0.5000  0.5000  12 Ge 3.03
Ge  0.0000  0.0000  0.0000  12 Ge 3.03
Ge  0.8026  0.3526  0.5000  2 Ru 2.48, 1 Ge 2.66
Ge  0.6474  0.5000  0.8026  2 Ru 2.48, 1 Ge 2.66
Ge  0.5000  0.1974  0.6474  2 Ru 2.48, 1 Ge 2.66
Ge  0.1974  0.6474  0.5000  2 Ru 2.48, 1 Ge 2.66
Ge  0.3526  0.5000  0.1974  2 Ru 2.48, 1 Ge 2.66
Ge  0.5000  0.8026  0.3526  2 Ru 2.48, 1 Ge 2.66
Ge  0.8026  0.6474  0.5000  2 Ru 2.48, 1 Ge 2.66
Ge  0.6474  0.5000  0.1974  2 Ru 2.48, 1 Ge 2.66
Ge  0.1974  0.3526  0.5000  2 Ru 2.48, 1 Ge 2.66
Ge  0.3526  0.5000  0.8026  2 Ru 2.48, 1 Ge 2.66
Ge  0.5000  0.8026  0.6474  2 Ru 2.48, 1 Ge 2.66
Ge  0.5000  0.1974  0.3526  2 Ru 2.48, 1 Ge 2.66
Ge  0.3026  0.0000  0.8526  2 Ru 2.48, 1 Ge 2.66
Ge  0.1474  0.3026  0.0000  2 Ru 2.48, 1 Ge 2.66
Ge  0.0000  0.1474  0.6974  2 Ru 2.48, 1 Ge 2.66
Ge  0.6974  0.0000  0.1474  2 Ru 2.48, 1 Ge 2.66
Ge  0.8526  0.6974  0.0000  2 Ru 2.48, 1 Ge 2.66
Ge  0.0000  0.8526  0.3026  2 Ru 2.48, 1 Ge 2.66
Ge  0.3026  0.0000  0.1474  2 Ru 2.48, 1 Ge 2.66
Ge  0.1474  0.6974  0.0000  2 Ru 2.48, 1 Ge 2.66
Ge  0.6974  0.0000  0.8526  2 Ru 2.48, 1 Ge 2.66
Ge  0.8526  0.3026  0.0000  2 Ru 2.48, 1 Ge 2.66
Ge  0.0000  0.1474  0.3026  2 Ru 2.48, 1 Ge 2.66
Ge  0.0000  0.8526  0.6974  2 Ru 2.48, 1 Ge 2.66
Ru  0.7500  0.2500  0.7500  6 Ge 2.48
Ru  0.2500  0.7500  0.2500  6 Ge 2.48
Ru  0.7500  0.7500  0.2500  6 Ge 2.48
Ru  0.2500  0.2500  0.7500  6 Ge 2.48
Ru  0.2500  0.7500  0.7500  6 Ge 2.48
Ru  0.7500  0.2500  0.2500  6 Ge 2.48
Ru  0.2500  0.2500  0.2500  6 Ge 2.48
Ru  0.7500  0.7500  0.7500  6 Ge 2.48

Properties
Total moment ... 0.00 μB per cell
DOS at the Fermi energy ... 15.4 states/eV per cell
Formation energy from the elements ... -0.44 eV/atom


(2)
DFT (PBE-GGA) results for a geometry-optimized Ta2TcBr structure.

abc: 9.2093 9.2093 9.2093
angles: 19.65 19.65 19.65
Last column: nearest neighbours and their distance in Å.
Sites, in units of the cell vectors:
Tc  0.5124  0.5124  0.5124  3 Ta 2.57
Br  0.7398  0.7398  0.7398  3 Ta 2.66
Ta  0.0015  0.0015  0.0015  3 Br 2.66
Ta  0.2462  0.2462  0.2462  3 Tc 2.57

Properties
Total moment ... 0.00 μB per cell
Raw formation energy ... 0.192 eV/atom
DOS at the Fermi energy ... 3.0 states/eV per cell


(3)
DFT (PBE-GGA) results for a geometry-optimized LiMo2WBr structure.

abc: 4.7692 5.3666 4.7692
angles: 90.00 90.00 90.00
Last column: nearest neighbours and their distance in Å.
Sites, in units of the cell vectors:
Mo  0.0000  0.0000  0.5000  2 W 2.38
Mo  0.5000  0.0000  0.0000  2 W 2.38
Br  0.5000  0.5000  0.5000  4 Li 3.37, 8 Mo 3.59
W  0.0000  0.0000  0.0000  4 Mo 2.38
Li  0.0000  0.5000  0.0000  2 W 2.68

Properties
Total moment ... 2.68 μB per cell
Raw formation energy ... 1.579 eV/atom
DOS at the Fermi energy ... 5.0 states/eV per cell


(4)
DFT (PBE-GGA) results for a geometry-optimized LuZrZnIn structure.

abc: 4.9705 4.9705 4.9705
angles: 60.00 60.00 60.00
Last column: nearest neighbours and their distance in Å.
Sites, in units of the cell vectors:
Zn  0.7500  0.7500  0.7500  4 Zr 3.04, 4 Lu 3.04
Lu  0.0000  0.0000  0.0000  4 Zn 3.04, 4 In 3.04
Zr  0.5000  0.5000  0.5000  4 In 3.04, 4 Zn 3.04
In  0.2500  0.2500  0.2500  4 Zr 3.04, 4 Lu 3.04

Properties
Total moment ... 0.00 μB per cell
DOS at the Fermi energy ... 1.6 states/eV per cell
Formation energy from the elements ... -0.26 eV/atom


(5)
DFT (PBE-GGA) results for a geometry-optimized BaCa3Pd structure.

abc: 27.0669 8.0914 10.6725
angles: 90.00 161.50 90.00
Last column: nearest neighbours and their distance in Å.
Sites, in units of the cell vectors:
Ca  0.4719  0.8682  0.3061  2 Pd 3.02-3.04
Ca  0.5281  0.1318  0.6939  2 Pd 3.02-3.04
Ca  0.0281  0.3682  0.1939  2 Pd 3.02-3.04
Ca  0.9719  0.6318  0.8061  2 Pd 3.02-3.04
Ca  0.2986  0.5475  0.0657  3 Pd 3.25-3.28, 2 Ca 3.53-3.62
Ca  0.7014  0.4525  0.9343  3 Pd 3.25-3.28, 2 Ca 3.53-3.62
Ca  0.2014  0.0475  0.4343  3 Pd 3.25-3.28, 2 Ca 3.53-3.62
Ca  0.7986  0.9525  0.5657  3 Pd 3.25-3.28, 2 Ca 3.53-3.62
Ca  0.3462  0.8405  0.4741  1 Pd 3.24
Ca  0.6538  0.1595  0.5259  1 Pd 3.24
Ca  0.1538  0.3405  0.0259  1 Pd 3.24
Ca  0.8462  0.6595  0.9741  1 Pd 3.24
Ba  0.1209  0.0304  0.6251  2 Pd 3.27-3.38, 1 Ca 3.61
Ba  0.8791  0.9696  0.3749  2 Pd 3.27-3.38, 1 Ca 3.61
Ba  0.3791  0.5304  0.8749  2 Pd 3.27-3.38, 1 Ca 3.61
Ba  0.6209  0.4696  0.1251  2 Pd 3.27-3.38, 1 Ca 3.61
Pd  0.6014  0.7666  0.8712  6 Ca 3.02-3.28, 1 Ba 3.27
Pd  0.3986  0.2334  0.1288  6 Ca 3.02-3.28, 1 Ba 3.27
Pd  0.8986  0.2666  0.6288  6 Ca 3.02-3.28, 1 Ba 3.27
Pd  0.1014  0.7334  0.3712  6 Ca 3.02-3.28, 1 Ba 3.27

Properties
Total moment ... 0.00 μB per cell
DOS at the Fermi energy ... 16.3 states/eV per cell
Formation energy from the elements ... -0.26 eV/atom


(6)
DFT (PBE-GGA) results for a geometry-optimized LaH6Ir2Pb structure.

abc: 7.1271 7.1271 4.9820
angles: 89.96 89.96 114.45
Last column: nearest neighbours and their distance in Å.
Sites, in units of the cell vectors:
La  0.1873  0.8127  0.2500  12 H 2.45-2.72
La  0.8127  0.1873  0.7500  12 H 2.45-2.72
H  0.0806  0.4402  0.0323  1 Ir 1.63, 1 H 1.72
H  0.5598  0.9194  0.4677  1 Ir 1.63, 1 H 1.72
H  0.9194  0.5598  0.9677  1 Ir 1.63, 1 H 1.72
H  0.4402  0.0806  0.5323  1 Ir 1.63, 1 H 1.72
H  0.1163  0.1170  0.9998  2 Ir 1.76, 1 H 1.80
H  0.8830  0.8837  0.5002  2 Ir 1.76, 1 H 1.80
H  0.8837  0.8830  0.0002  2 Ir 1.76, 1 H 1.80
H  0.1170  0.1163  0.4998  2 Ir 1.76, 1 H 1.80
H  0.0816  0.4405  0.4686  1 Ir 1.63, 1 H 1.73
H  0.5595  0.9184  0.0314  1 Ir 1.63, 1 H 1.73
H  0.9184  0.5595  0.5314  1 Ir 1.63, 1 H 1.73
H  0.4405  0.0816  0.9686  1 Ir 1.63, 1 H 1.73
Ir  0.2961  0.1301  0.7502  4 H 1.63-1.76
Ir  0.8699  0.7039  0.7498  4 H 1.63-1.76
Ir  0.7039  0.8699  0.2498  4 H 1.63-1.76
Ir  0.1301  0.2961  0.2502  4 H 1.63-1.76
Pb  0.5853  0.4147  0.2500  4 H 2.58
Pb  0.4147  0.5853  0.7500  4 H 2.58

Properties
Total moment ... 0.00 μB per cell
VASP energy ... -4.914 eV/atom
DOS at the Fermi energy ... 1.7 states/eV per cell


Which value of DOS at the Fermi energy does entry 3 give?
5.0 states/eV per cell


Among the records above, which one has the highest DOS at the Fermi energy?
BaCa3Pd